[1]
Density functional theory data (PBE) for a geometry-optimized SrCdIn2Rh structure.

POSCAR file:
```
SrCdIn2Rh
1.0
5.147 0.000 0.000
0.000 5.147 0.000
0.000 0.000 5.267
Sr Cd In Rh
1 1 2 1
direct
0.000 0.000 0.000
0.500 0.500 0.000
0.000 0.500 0.500
0.500 0.000 0.500
0.500 0.500 0.500
```

**Symmetry**: P4/mmm, No. 123
**Distance to the lowest polymorph of the same formula**: 0.000 eV/atom

***

[2]
Density functional theory data (PBE) for a geometry-optimized Sr2CdIn2Rh5 structure.

POSCAR file:
```
Sr2CdIn2Rh5
1.0
10.693 0.000 0.000
0.000 10.693 0.000
0.000 0.000 3.572
Sr Cd In Rh
4 2 4 10
direct
0.171 0.329 0.000
0.329 0.829 0.000
0.671 0.171 0.000
0.829 0.671 0.000
0.000 0.000 0.000
0.500 0.500 0.000
0.130 0.630 0.000
0.370 0.130 0.000
0.630 0.870 0.000
0.870 0.370 0.000
0.000 0.500 0.500
0.059 0.804 0.500
0.196 0.059 0.500
0.304 0.559 0.500
0.441 0.304 0.500
0.500 0.000 0.500
0.559 0.696 0.500
0.696 0.441 0.500
0.804 0.941 0.500
0.941 0.196 0.500
```

**Symmetry**: P4/mbm, No. 127

***

[3]
Density functional theory data (PBE) for a geometry-optimized Sr2CdInRh2 structure.

POSCAR file:
```
Sr2CdInRh2
1.0
-3.175 7.505 3.185
3.175 -7.505 3.185
3.175 7.505 -3.185
Sr Cd In Rh
4 2 2 4
direct
0.174 0.244 0.418
0.326 0.744 0.071
0.674 0.256 0.929
0.826 0.756 0.582
0.250 0.250 0.000
0.750 0.750 0.000
0.250 0.750 0.500
0.750 0.250 0.500
0.109 0.738 0.847
0.391 0.238 0.628
0.609 0.762 0.372
0.891 0.262 0.153
```

**Symmetry**: Ibam, No. 72

***

Summary of M_tot in μB/f.u.
0.00, 0.00, 0.00
(order as listed above)
Summary of energy of formation in meV per atom
-305.0, -174.1, -330.7
(order as listed above)